First-principles (PBE) data for Ac2TbEr2Hg5 after structural relaxation, as listed in Alexandria.

abc: 12.1216 12.1216 3.9967
angles: 90.00 90.00 90.00
Space group P4/mbm (No. 127)
Unique sites:
Ac  0.1729  0.3271  0.0000 [4 per cell]
Tb  0.0000  0.0000  0.0000 [2 per cell]
Er  0.1288  0.6288  0.0000 [4 per cell]
Hg  0.0000  0.5000  0.5000 [2 per cell]
Hg  0.0779  0.8158  0.5000 [8 per cell]

Computed properties:
- ΔH_f (0 K): -0.35 eV/atom
- Density of states at the Fermi level: 0.72 states/eV/atom
- Total energy: -2.701 eV per atom